Record 1
PmSiH2O4: relaxed, PBE.

Unit cell a=5.863 b=5.863 c=6.255 alpha=106.48 beta=106.48 gamma=113.23
Fractional positions:
1 O 0.658 0.259 0.727
2 O 0.065 0.321 0.072
3 O 0.532 0.931 0.273
4 O 0.250 0.994 0.928
5 O 0.071 0.315 0.572
6 O 0.744 0.500 0.428
7 O 0.681 0.782 0.773
8 O 0.009 0.908 0.227
9 H 0.368 0.955 0.059
10 H 0.059 0.146 0.441
11 H 0.705 0.618 0.559
12 H 0.896 0.309 0.941
13 Si 0.744 0.244 0.500
14 Si 0.994 0.994 0.000
15 Pm 0.262 0.762 0.500
16 Pm 0.512 0.512 0.000

ΔE to the lowest computed polymorph	0.000	eV per atom


Record 2
Y3ErSc2CuTe2: relaxed, PBE.

Unit cell a=3.963 b=8.175 c=8.175 alpha=120.57 beta=90.00 gamma=90.00
Fractional positions:
1 Y 0.000 0.001 0.599
2 Y 0.000 0.392 0.392
3 Y 0.000 0.599 0.001
4 Te 0.500 0.666 0.329
5 Te 0.500 0.329 0.666
6 Sc 0.500 0.238 0.997
7 Sc 0.500 0.997 0.238
8 Er 0.500 0.764 0.764
9 Cu 0.000 0.015 0.015

calculated total energy	-52.65	eV per formula unit


Record 3
NbReNiGe: relaxed, PBE.

Unit cell a=4.382 b=4.382 c=4.382 alpha=60.00 beta=60.00 gamma=60.00
Fractional positions:
1 Re 0.500 0.500 0.500
2 Ni 0.750 0.750 0.750
3 Nb 0.250 0.250 0.250
4 Ge 0.000 0.000 0.000

calculated total energy	-31.92	eV per formula unit


Record 4
Sc2Ag3Hg3O12: relaxed, PBE.

Unit cell a=11.488 b=11.488 c=11.488 alpha=109.47 beta=109.47 gamma=109.47
Fractional positions:
1 Hg 0.375 0.625 0.250
2 Hg 0.375 0.250 0.125
3 Hg 0.625 0.375 0.750
4 Hg 0.875 0.250 0.625
5 Hg 0.750 0.625 0.375
6 Hg 0.250 0.375 0.625
7 Hg 0.125 0.875 0.750
8 Hg 0.250 0.875 0.125
9 Hg 0.750 0.125 0.875
10 Hg 0.125 0.750 0.375
11 Hg 0.875 0.125 0.250
12 Hg 0.625 0.750 0.875
13 O 0.542 0.378 0.355
14 O 0.878 0.523 0.336
15 O 0.958 0.645 0.622
16 O 0.313 0.977 0.355
17 O 0.145 0.122 0.958
18 O 0.313 0.836 0.958
19 O 0.145 0.523 0.187
20 O 0.977 0.313 0.855
21 O 0.836 0.313 0.458
22 O 0.813 0.958 0.836
23 O 0.477 0.122 0.164
24 O 0.023 0.687 0.145
25 O 0.523 0.878 0.836
26 O 0.355 0.813 0.477
27 O 0.645 0.187 0.523
28 O 0.023 0.836 0.878
29 O 0.336 0.378 0.023
30 O 0.958 0.813 0.336
31 O 0.977 0.164 0.122
32 O 0.836 0.023 0.378
33 O 0.855 0.878 0.042
34 O 0.878 0.855 0.542
35 O 0.477 0.855 0.313
36 O 0.687 0.023 0.645
37 O 0.622 0.458 0.145
38 O 0.122 0.477 0.664
39 O 0.164 0.687 0.542
40 O 0.122 0.145 0.458
41 O 0.458 0.622 0.645
42 O 0.187 0.645 0.023
43 O 0.164 0.977 0.622
44 O 0.042 0.355 0.378
45 O 0.813 0.355 0.977
46 O 0.523 0.145 0.687
47 O 0.664 0.622 0.977
48 O 0.355 0.042 0.878
49 O 0.187 0.042 0.164
50 O 0.336 0.458 0.313
51 O 0.378 0.336 0.523
52 O 0.687 0.164 0.042
53 O 0.378 0.542 0.855
54 O 0.542 0.664 0.187
55 O 0.664 0.542 0.687
56 O 0.645 0.958 0.122
57 O 0.855 0.477 0.813
58 O 0.042 0.187 0.664
59 O 0.622 0.664 0.477
60 O 0.458 0.336 0.813
61 Ag 0.750 0.875 0.625
62 Ag 0.125 0.250 0.875
63 Ag 0.875 0.750 0.125
64 Ag 0.875 0.625 0.750
65 Ag 0.625 0.250 0.375
66 Ag 0.750 0.375 0.125
67 Ag 0.125 0.375 0.250
68 Ag 0.375 0.750 0.625
69 Ag 0.250 0.125 0.375
70 Ag 0.250 0.625 0.875
71 Ag 0.625 0.875 0.250
72 Ag 0.375 0.125 0.750
73 Sc 0.000 0.500 0.500
74 Sc 0.000 0.500 0.000
75 Sc 0.500 0.500 0.500
76 Sc 0.500 0.000 0.500
77 Sc 0.500 0.000 0.000
78 Sc 0.000 0.000 0.000
79 Sc 0.500 0.500 0.000
80 Sc 0.000 0.000 0.500

ΔE to the lowest computed polymorph	0.000	eV per atom